# 1
# BaPPtCl2 (PBE, relaxed)
# Space group: No. 123
# E_form (uncorrected) in meV per atom: 463
# Magnetic moment in Bohr magnetons per cell: 1.4
data_BaPPtCl2
_cell_length_a 5.7053
_cell_length_b 5.7053
_cell_length_c 6.7417
_cell_angle_alpha 90.00
_cell_angle_beta 90.00
_cell_angle_gamma 90.00
_symmetry_space_group_name_H-M 'P 1'
_symmetry_Int_Tables_number 1
_symmetry_space_group_name_Hall 'P 1'
loop_
_atom_site_label
_atom_site_type_symbol
_atom_site_fract_x
_atom_site_fract_y
_atom_site_fract_z
Ba1 Ba 0.0000 0.0000 0.0000
P1 P 0.0000 0.0000 0.5000
Pt1 Pt 0.5000 0.5000 0.5000
Cl1 Cl 0.0000 0.5000 0.0000
Cl2 Cl 0.5000 0.0000 0.0000

=====

# 2
# TlSiTc2 (PBE, relaxed)
# Space group: No. 225
# E_form (uncorrected) in meV per atom: 457
# Magnetic moment in Bohr magnetons per cell: 0.0
data_TlSiTc2
_cell_length_a 4.4679
_cell_length_b 4.4679
_cell_length_c 4.4679
_cell_angle_alpha 60.00
_cell_angle_beta 60.00
_cell_angle_gamma 60.00
_symmetry_space_group_name_H-M 'P 1'
_symmetry_Int_Tables_number 1
_symmetry_space_group_name_Hall 'P 1'
loop_
_atom_site_label
_atom_site_type_symbol
_atom_site_fract_x
_atom_site_fract_y
_atom_site_fract_z
Tl1 Tl 0.0000 0.0000 0.0000
Si1 Si 0.5000 0.5000 0.5000
Tc1 Tc 0.2500 0.2500 0.2500
Tc2 Tc 0.7500 0.7500 0.7500